(1)
First-principles (PBE) data for a geometry-optimized Na2CrAs2 structure, as listed in Alexandria via LeMat-Bulk.

The calculation puts the total moment at 0.0 μB per formula unit. For the formation energy, the calculation gives 2.263 eV per formula unit.

a b c (Å): 3.498 3.498 7.654
angles (deg): 76.79 76.79 90.00
Sites, in units of the cell vectors:
Cr: 0.000 0.000 0.000
As: 0.588 0.588 0.824
As: 0.412 0.412 0.176
Na: 0.750 0.250 0.500
Na: 0.250 0.750 0.500


(2)
First-principles (PBE) data for a geometry-optimized LaCuCl3 structure, as listed in Alexandria via LeMat-Bulk.

The value obtained for the uncorrected formation energy is -1077 meV/atom. The calculation puts the total moment at 0.6 μB per formula unit.

a b c (Å): 4.809 4.809 4.809
angles (deg): 90.00 90.00 90.00
Sites, in units of the cell vectors:
Cl: 0.500 0.000 0.000
Cl: 0.000 0.000 0.500
Cl: 0.000 0.500 0.000
Cu: 0.000 0.000 0.000
La: 0.500 0.500 0.500


(3)
First-principles (PBE) data for a geometry-optimized CaFeSi structure, as listed in Alexandria via LeMat-Bulk.

The value obtained for the uncorrected formation energy is 1075 meV/atom. The calculation puts the total moment at 3.1 μB per formula unit.

a b c (Å): 4.667 4.667 4.667
angles (deg): 60.00 60.00 60.00
Sites, in units of the cell vectors:
Si: 0.500 0.500 0.500
Ca: 0.750 0.750 0.750
Fe: 0.000 0.000 0.000


(4)
First-principles (PBE) data for a geometry-optimized CdAsBr2 structure, as listed in Alexandria via LeMat-Bulk.

The value obtained for the uncorrected formation energy is 178 meV/atom. The calculation puts the total moment at 1.1 μB per formula unit.

a b c (Å): 3.409 3.409 10.052
angles (deg): 90.00 90.00 90.00
Sites, in units of the cell vectors:
As: 0.500 0.500 0.750
Br: 0.000 0.000 0.077
Br: 0.000 0.000 0.423
Cd: 0.500 0.500 0.250


(5)
First-principles (PBE) data for a geometry-optimized Ba6TeAs2Br3 structure, as listed in Alexandria via LeMat-Bulk.

The value obtained for the uncorrected formation energy is -1643 meV/atom. The calculation puts the total moment at 0.0 μB per formula unit.

a b c (Å): 4.832 9.702 10.795
angles (deg): 102.47 102.93 90.00
Sites, in units of the cell vectors:
Te: 0.500 0.000 0.000
As: 0.167 0.334 0.333
As: 0.833 0.666 0.667
Ba: 0.668 0.109 0.336
Ba: 0.674 0.567 0.348
Ba: 0.990 0.746 0.980
Ba: 0.332 0.891 0.664
Ba: 0.010 0.254 0.020
Ba: 0.326 0.433 0.652
Br: 0.836 0.166 0.671
Br: 0.500 0.500 0.000
Br: 0.164 0.834 0.329


(6)
First-principles (PBE) data for a geometry-optimized La9TbNd2 structure, as listed in Alexandria via LeMat-Bulk.

The calculation puts the total moment at 0.0 μB per formula unit. For the formation energy, the calculation gives 0.065 eV per formula unit.

a b c (Å): 5.234 5.234 15.703
angles (deg): 90.00 90.00 90.00
Sites, in units of the cell vectors:
La: 0.500 0.500 0.000
La: 0.000 0.500 0.835
La: 0.500 0.500 0.667
La: 0.500 0.500 0.333
La: 0.500 0.000 0.500
La: 0.500 0.000 0.835
La: 0.500 0.000 0.165
La: 0.000 0.500 0.500
La: 0.000 0.500 0.165
Nd: 0.000 0.000 0.333
Nd: 0.000 0.000 0.667
Tb: 0.000 0.000 0.000


(7)
First-principles (PBE) data for a geometry-optimized LiGd2Dy structure, as listed in Alexandria via LeMat-Bulk.

The calculation puts the total moment at 15.1 μB per formula unit. For the formation energy, the calculation gives 0.671 eV per formula unit.

a b c (Å): 3.476 3.476 12.289
angles (deg): 81.87 81.87 60.00
Sites, in units of the cell vectors:
Gd: 0.911 0.911 0.266
Gd: 0.089 0.089 0.734
Dy: 0.500 0.500 0.500
Li: 0.000 0.000 0.000


(8)
First-principles (PBE) data for a geometry-optimized K5Ir structure, as listed in Alexandria via LeMat-Bulk.

The calculation puts the total moment at 0.0 μB per formula unit. For the formation energy, the calculation gives 3.177 eV per formula unit.

a b c (Å): 8.669 8.669 5.563
angles (deg): 90.00 90.00 142.56
Sites, in units of the cell vectors:
K: 0.366 0.634 0.500
K: 0.136 0.864 0.000
K: 0.634 0.366 0.500
K: 0.000 0.000 0.500
K: 0.864 0.136 0.000
Ir: 0.500 0.500 0.000


(9)
First-principles (PBE) data for a geometry-optimized KTlCd2 structure, as listed in Alexandria via LeMat-Bulk.

The calculation puts the total moment at 0.0 μB per formula unit. For the formation energy, the calculation gives -0.265 eV per formula unit.

a b c (Å): 5.411 6.578 7.652
angles (deg): 90.00 90.00 114.29
Sites, in units of the cell vectors:
Cd: 0.380 0.760 0.943
Cd: 0.380 0.760 0.557
Cd: 0.620 0.240 0.443
Cd: 0.620 0.240 0.057
K: 0.916 0.832 0.250
K: 0.084 0.168 0.750
Tl: 0.212 0.425 0.250
Tl: 0.788 0.575 0.750


(10)
First-principles (PBE) data for a geometry-optimized TcSn6Au structure, as listed in Alexandria via LeMat-Bulk.

The calculation puts the total moment at 0.0 μB per formula unit. For the formation energy, the calculation gives 1.456 eV per formula unit.

a b c (Å): 6.093 6.093 6.385
angles (deg): 100.19 100.19 108.74
Sites, in units of the cell vectors:
Sn: 0.507 0.886 0.773
Sn: 0.493 0.114 0.227
Sn: 0.114 0.493 0.227
Sn: 0.804 0.804 0.331
Sn: 0.886 0.507 0.773
Sn: 0.196 0.196 0.669
Tc: 0.500 0.500 0.500
Au: 0.000 0.000 0.000


(11)
First-principles (PBE) data for a geometry-optimized UNbAs2 structure, as listed in Alexandria via LeMat-Bulk.

The calculation puts the total moment at 2.8 μB per formula unit. For the formation energy, the calculation gives -1.771 eV per formula unit.

a b c (Å): 3.333 3.333 6.871
angles (deg): 90.00 90.00 90.00
Sites, in units of the cell vectors:
U: 0.500 0.500 0.500
As: 0.000 0.000 0.780
As: 0.000 0.000 0.220
Nb: 0.500 0.500 0.000


- Which value of total moment does entry 1 give?
  0.0 μB per formula unit